# 1
This record from the Alexandria database describes a relaxed Li2CeGa crystal. The functional is GGA-PBEsol.

Cell lengths 4.694, 4.694, 4.694 Å; angles 60.00, 60.00, 60.00 degrees
Fractional positions:
Li1 0.250 0.250 0.250
Li2 0.750 0.750 0.750
Ce1 0.000 0.000 0.000
Ga1 0.500 0.500 0.500

Values from the calculation:
Its space group is Fm-3m. For the calculated formation energy, the calculation gives -11.5 kJ per mole of atoms. Its calculated density is 5.08 g/cm³.

***

# 2
This record from the Alexandria database describes a relaxed CeMgGa crystal. The functional is GGA-PBEsol.

Cell lengths 7.292, 7.292, 4.485 Å; angles 90.00, 90.00, 120.00 degrees
Fractional positions:
Ce1 0.000 0.425 0.000
Ce2 0.425 0.000 0.000
Ce3 0.575 0.575 0.000
Mg1 0.000 0.758 0.500
Mg2 0.242 0.242 0.500
Mg3 0.758 0.000 0.500
Ga1 0.000 0.000 0.000
Ga2 0.333 0.667 0.500
Ga3 0.667 0.333 0.500

Values from the calculation:
Its space group is P-62m. For the calculated formation energy, the calculation gives -30.6 kJ per mole of atoms. Its calculated density is 5.65 g/cm³.